# 1
# K2CeAlS5

Crystalline K2CeAlS5 at its relaxed geometry (PBE, Alexandria).

```
K2CeAlS5
1.0
-3.863 -0.281 0.576
3.240 -7.970 4.528
1.236 7.219 11.823
K Ce S Al
4 2 10 2
Cartesian
0.745 0.214 5.107
1.151 3.040 9.206
0.053 -0.165 13.591
-0.702 -5.032 6.148
0.565 -3.091 2.285
-0.502 -1.148 9.390
-0.360 3.335 12.530
0.901 -5.461 3.380
-0.948 5.534 9.661
1.662 -5.974 8.235
-0.885 0.943 7.837
-0.116 -3.707 10.732
0.152 -0.691 0.682
1.314 -2.374 7.661
-1.213 -2.256 4.079
1.596 -0.114 10.657
-0.621 5.518 11.843
1.669 -4.011 9.242
```

Values from the calculation:
Symmetry: Cmc2_1, No. 36



# 2
# LaZr3Sb

Crystalline LaZr3Sb at its relaxed geometry (PBE, Alexandria).

```
LaZr3Sb
1.0
-1.006 4.887 -1.264
-3.395 -1.609 -3.519
-3.736 0.146 3.537
Zr La Sb
3 1 1
Cartesian
-1.697 -0.804 -1.759
-0.503 2.444 -0.632
-1.868 0.073 1.769
0.000 0.000 0.000
-4.068 1.712 -0.623
```

Values from the calculation:
Polymorph energy (0 for the lowest one) (meV per atom): 694
Symmetry: Pm-3m, No. 221



| no. | E_form (uncorrected) (kJ/mol of atoms) | total energy (eV per cell) |
| --- | --- | --- |
| 1 | -119.19 | -87.25 |
| 2 | 104.50 | -29.28 |